Computed, not measured: a geometry-optimized AgP5W3 structure at the PBE-GGA level of DFT.

Cell and atoms, written as extended XYZ:
```
9
Lattice="-0.261 2.131 -4.851 -4.208 0.221 3.224 2.361 6.319 2.649" Properties=species:S:1:pos:R:3 pbc="T T T"
Ag 0.000 0.000 0.000
W -0.923 3.270 2.937
P 0.262 6.413 -0.097
P 1.181 3.159 1.325
W 1.050 4.225 -1.101
P -2.369 2.258 1.119
P -1.053 2.894 -1.573
P -1.054 5.776 2.595
W -1.054 4.335 0.511
```

Its total DFT energy (no corrections) is -65.403 eV/f.u. The value obtained for the volume is 176.66 Å³/cell. The calculation puts the theoretical density at 7.654 g/cm³. The spin magnetization is 0.01 μB per cell. The space group is P6/mmm, No. 191.